Compound: ZnMoRh
Source: Alexandria via LeMat-Bulk
Functional: PBE-GGA
Structure: optimized geometry

CIF file:
```
data_ZnMoRh
_space_group_name_H-M_alt 'P 3 m 1'
_space_group_IT_number 156
_cell_length_a 4.3153
_cell_length_b 4.3153
_cell_length_c 2.7089
_cell_angle_alpha 90.00
_cell_angle_beta 90.00
_cell_angle_gamma 120.00
loop_
_space_group_symop_operation_xyz
'x,y,z'
'-y,x-y,z'
'-x+y,-x,z'
'-y,-x,z'
'-x+y,y,z'
'x,x-y,z'
loop_
_atom_site_label
_atom_site_type_symbol
_atom_site_fract_x
_atom_site_fract_y
_atom_site_fract_z
Zn1 Zn 0.0000 0.0000 0.0000
Mo1 Mo 0.3333 0.6667 0.4912
Rh1 Rh 0.6667 0.3333 0.9780
```

Properties
The electronic total energy comes out at -6.571 eV/atom. The calculation puts the formation energy from the elements at -0.09 eV per atom. Its total magnetization is 0.0 Bohr magnetons per cell.